Entry 1:
Below is a relaxed structure of NaAsOF2, with properties calculated at the PBE level.

Cell: 3.8508 3.8508 4.3198 Å, 90.00 90.00 90.00°
With the nearest neighbours (Å) after each atom.
Space group P4/mmm (No. 123)
Asymmetric unit:
Na1 0.0000 0.0000 0.0000 x1  4 F 1.93
As1 0.5000 0.5000 0.5000 x1  4 O 2.72, 8 F 2.89
O1 0.0000 0.0000 0.5000 x1  2 Na 2.16
F1 0.0000 0.5000 0.0000 x2  2 Na 1.93

Summary:
The value obtained for the distance to the lowest polymorph of the same formula is 1006 meV/atom.

=====

Entry 2:
Below is a relaxed structure of NaAsPbF2, with properties calculated at the PBE level.

Cell: 4.6403 4.6403 7.9795 Å, 90.00 90.00 90.00°
With the nearest neighbours (Å) after each atom.
Space group P4/mmm (No. 123)
Asymmetric unit:
Na1 0.0000 0.0000 0.0000 x1  4 As 3.28
As1 0.5000 0.5000 0.0000 x1  4 Na 3.28
Pb1 0.0000 0.0000 0.5000 x1  4 F 2.32
F1 0.0000 0.5000 0.5000 x2  2 Pb 2.32

=====

Entry 3:
Below is a relaxed structure of Rb2NaAsF6, with properties calculated at the PBE level.

Cell: 8.7959 8.7959 8.7959 Å, 90.00 90.00 90.00°
With the nearest neighbours (Å) after each atom.
Space group Fm-3m (No. 225)
Asymmetric unit:
Rb1 0.2500 0.2500 0.2500 x8  12 F 3.11
Na1 0.0000 0.0000 0.0000 x4  6 F 2.32
As1 0.0000 0.0000 0.5000 x4  6 F 2.08
F1 0.0000 0.0000 0.2638 x24  1 As 2.08, 1 Na 2.32

=====

Entry 4:
Below is a relaxed structure of RbNa2AsF6, with properties calculated at the PBE level.

Cell: 9.3013 9.3013 9.3013 Å, 90.00 90.00 90.00°
With the nearest neighbours (Å) after each atom.
Space group Fm-3m (No. 225)
Asymmetric unit:
Rb1 0.0000 0.0000 0.0000 x4  6 F 2.60
Na1 0.2500 0.2500 0.2500 x8  12 F 3.30
As1 0.0000 0.0000 0.5000 x4  6 F 2.06
F1 0.0000 0.0000 0.2791 x24  1 As 2.06

Summary:
The value obtained for the distance to the lowest polymorph of the same formula is 235 meV/atom.

=====

Entry 5:
Below is a relaxed structure of RbNa2AsF6, with properties calculated at the PBE level.

Cell: 6.0915 6.0915 15.4741 Å, 90.00 90.00 120.00°
With the nearest neighbours (Å) after each atom.
Space group R3 (No. 146, hexagonal axes)
Asymmetric unit:
Rb1 0.0000 0.0000 0.0000 x3  6 F 2.73-2.94
Na1 0.0000 0.0000 0.2584 x3  6 F 2.25-2.51
Na2 0.0000 0.0000 0.7851 x3  6 F 2.35-2.37
As1 0.0000 0.0000 0.4709 x3  3 F 1.96
F1 0.0005 0.3356 0.5291 x9  1 As 2.23, 2 Na 2.25-2.35
F2 0.0545 0.7874 0.3891 x9  1 As 1.96

Summary:
The value obtained for the distance to the lowest polymorph of the same formula is 0 meV/atom.

=====

Entry 6:
Below is a relaxed structure of RbNaAsF6, with properties calculated at the PBE level.

Cell: 5.8027 5.8027 5.8116 Å, 90.00 90.00 120.00°
With the nearest neighbours (Å) after each atom.
Space group P312 (No. 149)
Asymmetric unit:
Rb1 0.0000 0.0000 0.0000 x1  6 F 2.85
Na1 0.3333 0.6667 0.5000 x1  6 F 2.34
As1 0.6667 0.3333 0.5000 x1  6 F 1.93
F1 0.4033 0.0526 0.6892 x6  1 As 1.93

=====

no.,D(E_F) (states/eV per cell),formation energy without anion corrections (meV/atom)
1,0.2,-710.3
2,0.7,-942.5
3,0.0,-2552.4
4,0.0,-2272.9
5,0.0,-2507.5
6,2.9,-2418.7